The following is a PBE-GGA calculation of a geometry-optimized Pr3Sm4In structure, from Alexandria via LeMat-Bulk.

The crystal system is monoclinic. As for the energy of formation from the pure elements: 0.051 eV per atom. The value obtained for the calculated volume is 34.2 A^3/atom. The calculation puts the energy above the most stable polymorph in this dataset at 14.8 kJ per mole of atoms.

The space group is C2/m (No. 12) and the conventional cell measures 26.4377, 3.5202 and 5.9263 Å, with angles of 90.00, 97.54 and 90.00 degrees. Symmetry generates all atoms from Pr at (0.0000, 0.0000, 0.0000), Pr at (0.1503, 0.0000, 0.2037), Sm at (0.0996, 0.0000, 0.6725), Sm at (0.2176, 0.5000, 0.7331) and In at (0.0000, 0.5000, 0.5000).


The following is a PBE-GGA calculation of a geometry-optimized CsZr2Pt structure, from Alexandria via LeMat-Bulk.

The crystal system is tetragonal. As for the energy of formation from the pure elements: 0.720 eV per atom. The value obtained for the calculated volume is 32.5 A^3/atom. The calculation puts the energy above the most stable polymorph in this dataset at 20.8 kJ per mole of atoms.

The space group is I-42d (No. 122) and the conventional cell measures 5.2939, 5.2939 and 18.5391 Å, with angles of 90.00, 90.00 and 90.00 degrees. Symmetry generates all atoms from Cs at (0.0000, 0.0000, 0.0000), Zr at (0.1013, 0.2500, 0.6250) and Pt at (0.0000, 0.0000, 0.5000).